The following is a DFT calculation (GGA-PBE) of crystalline Nb2Sn at its relaxed geometry.

Cell: 5.5697 5.5697 5.5697 Å, 60.00 60.00 60.00°
With the nearest neighbours (Å) after each atom.
Positions (direct):
Nb (0.6250, 0.6250, 0.6250)  6 Nb 2.78
Sn (0.0000, 0.0000, 0.0000)  12 Nb 3.27, 4 Sn 3.41
Nb (0.1250, 0.6250, 0.6250)  6 Nb 2.78
Nb (0.6250, 0.1250, 0.6250)  6 Nb 2.78
Sn (0.2500, 0.2500, 0.2500)  12 Nb 3.27, 4 Sn 3.41
Nb (0.6250, 0.6250, 0.1250)  6 Nb 2.78

Total magnetization, Bohr magnetons per cell: 0.012
Volume, Å³ per atom: 20.36
SG: Fd-3m, No. 227
Energy, eV per cell: -47.260

---

The following is a DFT calculation (GGA-PBE) of crystalline NbSn2 at its relaxed geometry.

Cell: 5.8344 5.8344 5.8344 Å, 60.00 60.00 60.00°
With the nearest neighbours (Å) after each atom.
Positions (direct):
Sn (0.6250, 0.6250, 0.1250)  6 Sn 2.92
Sn (0.6250, 0.6250, 0.6250)  6 Sn 2.92
Sn (0.6250, 0.1250, 0.6250)  6 Sn 2.92
Nb (0.2500, 0.2500, 0.2500)  12 Sn 3.42, 4 Nb 3.57
Sn (0.1250, 0.6250, 0.6250)  6 Sn 2.92
Nb (0.0000, 0.0000, 0.0000)  12 Sn 3.42, 4 Nb 3.57

Total magnetization, Bohr magnetons per cell: 2.400
Volume, Å³ per atom: 23.41
SG: Fd-3m, No. 227
Energy, eV per cell: -30.876

---

The following is a DFT calculation (GGA-PBE) of crystalline SrNbSn at its relaxed geometry.

Cell: 5.2084 5.2084 5.2084 Å, 60.00 60.00 60.00°
With the nearest neighbours (Å) after each atom.
Positions (direct):
Sr (0.0000, 0.0000, 0.0000)  4 Nb 3.19, 4 Sn 3.19
Nb (0.2500, 0.2500, 0.2500)  4 Sr 3.19
Sn (0.7500, 0.7500, 0.7500)  4 Sr 3.19

Total magnetization, Bohr magnetons per cell: 3.000
Volume, Å³ per atom: 33.30
SG: F-43m, No. 216
Energy, eV per cell: -12.400

---

The following is a DFT calculation (GGA-PBE) of crystalline SrNbSn at its relaxed geometry.

Cell: 5.0998 5.0998 5.0998 Å, 60.00 60.00 60.00°
With the nearest neighbours (Å) after each atom.
Positions (direct):
Sn (0.0000, 0.0000, 0.0000)  4 Sr 3.12, 4 Nb 3.12
Sr (0.7500, 0.7500, 0.7500)  4 Sn 3.12
Nb (0.2500, 0.2500, 0.2500)  4 Sn 3.12

Total magnetization, Bohr magnetons per cell: 2.482
Volume, Å³ per atom: 31.26
SG: F-43m, No. 216
Energy, eV per cell: -14.425

---

The following is a DFT calculation (GGA-PBE) of crystalline Ta2NbSn at its relaxed geometry.

Cell: 5.3452 5.3043 5.3043 Å, 90.00 90.00 90.00°
With the nearest neighbours (Å) after each atom.
Positions (direct):
Ta (0.5000, 0.5010, 0.5010)  2 Ta 2.67, 4 Sn 2.97
Ta (0.7500, 0.9990, 0.7474)  2 Nb 2.63-2.68
Sn (0.7500, 0.4989, 0.0012)  4 Nb 2.97-2.98, 8 Ta 2.97-2.98
Sn (0.2500, 0.0012, 0.4989)  4 Nb 2.97-2.98, 8 Ta 2.97-2.98
Nb (0.2500, 0.2523, 0.9991)  2 Ta 2.63-2.68
Nb (0.7500, 0.9991, 0.2523)  2 Ta 2.63-2.68
Ta (0.2500, 0.7474, 0.9990)  2 Nb 2.63-2.68
Ta (0.0000, 0.5010, 0.5010)  2 Ta 2.67, 4 Sn 2.97

Total magnetization, Bohr magnetons per cell: 0.004
Volume, Å³ per atom: 18.80
SG: Ama2, No. 40
Energy, eV per cell: -76.284

---

The following is a DFT calculation (GGA-PBE) of crystalline TaNb5Sn2 at its relaxed geometry.

Cell: 5.3015 5.3015 5.3577 Å, 90.00 90.00 90.00°
With the nearest neighbours (Å) after each atom.
Positions (direct):
Nb (0.2462, 0.5000, 0.7513)  2 Nb 2.61-2.69
Ta (0.0000, 0.0000, 0.0000)  2 Nb 2.68, 4 Sn 2.97
Nb (0.7538, 0.5000, 0.7513)  2 Nb 2.61-2.69
Nb (0.0000, 0.0000, 0.5000)  2 Ta 2.68, 4 Sn 2.97
Sn (0.5000, 0.0000, 0.7489)  10 Nb 2.97-2.98, 2 Ta 2.97
Nb (0.5000, 0.7538, 0.2487)  2 Nb 2.61-2.69
Sn (0.0000, 0.5000, 0.2511)  10 Nb 2.97-2.98, 2 Ta 2.97
Nb (0.5000, 0.2462, 0.2487)  2 Nb 2.61-2.69

Total magnetization, Bohr magnetons per cell: 0.023
Volume, Å³ per atom: 18.82
SG: P-4m2, No. 115
Energy, eV per cell: -71.543

---

Copy entry 6 word for word.
The following is a DFT calculation (GGA-PBE) of crystalline TaNb5Sn2 at its relaxed geometry.

Cell: 5.3015 5.3015 5.3577 Å, 90.00 90.00 90.00°
With the nearest neighbours (Å) after each atom.
Positions (direct):
Nb (0.2462, 0.5000, 0.7513)  2 Nb 2.61-2.69
Ta (0.0000, 0.0000, 0.0000)  2 Nb 2.68, 4 Sn 2.97
Nb (0.7538, 0.5000, 0.7513)  2 Nb 2.61-2.69
Nb (0.0000, 0.0000, 0.5000)  2 Ta 2.68, 4 Sn 2.97
Sn (0.5000, 0.0000, 0.7489)  10 Nb 2.97-2.98, 2 Ta 2.97
Nb (0.5000, 0.7538, 0.2487)  2 Nb 2.61-2.69
Sn (0.0000, 0.5000, 0.2511)  10 Nb 2.97-2.98, 2 Ta 2.97
Nb (0.5000, 0.2462, 0.2487)  2 Nb 2.61-2.69

Total magnetization, Bohr magnetons per cell: 0.023
Volume, Å³ per atom: 18.82
SG: P-4m2, No. 115
Energy, eV per cell: -71.543

---

Among the records above, which one has the highest volume? number 3

---

The lowest energy belongs to which entry? Ta2NbSn

---

The highest total magnetization belongs to which entry? number 3